[1]
A relaxed structure of Sn3TeBr. Source: Alexandria, functional PBE.

The structure in POSCAR format:
```
Sn3TeBr
1.0
-4.675 -3.108 -2.035
-0.725 -2.446 5.399
-3.644 4.474 1.538
Te Sn Br
1 3 1
Cartesian
0.000 0.000 0.000
-0.362 -1.223 2.700
-1.822 2.237 0.769
-2.338 -1.554 -1.018
-4.522 -0.540 2.451
```

## Properties
Crystal system   cubic
Space-group type   Pm-3m
Electronic total energy   -14.48 eV per formula unit
ΔE_f (raw)   0.469 eV per atom
ρ   4.4 Mg/m³
Spin magnetization   0.00 μB/f.u.



[2]
A relaxed structure of Sn2Te2Br. Source: Alexandria, functional PBE.

The structure in POSCAR format:
```
Sn2Te2Br
1.0
-0.279 3.161 -4.403
-1.593 -4.262 -2.959
-6.813 0.744 -2.380
Te Sn Br
2 2 1
Cartesian
-2.604 -0.183 -3.311
-6.080 -0.174 -6.430
-4.014 1.677 -5.232
-4.671 -2.034 -4.510
0.000 0.000 0.000
```

## Properties
Crystal system   tetragonal
Space-group type   I4/mmm
Electronic total energy   -16.80 eV per formula unit
ΔE_f (raw)   -0.167 eV per atom
ρ   5.2 Mg/m³
Spin magnetization   0.00 μB/f.u.



[3]
A relaxed structure of Sn2TeBr2. Source: Alexandria, functional PBE.

The structure in POSCAR format:
```
Sn2TeBr2
1.0
-6.372 4.125 4.098
1.871 -4.302 7.239
2.814 3.187 1.167
Te Sn Br
2 4 4
Cartesian
0.000 0.000 0.000
-2.250 -0.088 5.669
-0.427 -2.204 7.052
-3.811 0.313 8.337
-4.073 2.028 4.285
-0.690 -0.489 3.000
1.688 -0.583 5.852
-1.107 0.581 9.415
-3.374 3.594 6.652
-0.580 2.430 3.089
```

## Properties
Crystal system   tetragonal
Space-group type   P4/mbm
Electronic total energy   -16.26 eV per formula unit
ΔE_f (raw)   -0.353 eV per atom
ρ   5.3 Mg/m³
Spin magnetization   0.00 μB/f.u.



[4]
A relaxed structure of SnTeBr2. Source: Alexandria, functional PBE.

The structure in POSCAR format:
```
SnTeBr2
1.0
8.249 -3.919 5.365
9.772 -3.542 2.040
9.639 -0.674 4.338
Te Sn Br
1 1 2
Cartesian
0.000 0.000 0.000
13.830 -4.067 5.872
25.118 -7.387 10.664
2.542 -0.748 1.079
```

## Properties
Crystal system   trigonal
Space-group type   R-3m
Electronic total energy   -10.98 eV per formula unit
ΔE_f (raw)   -0.122 eV per atom
ρ   5.6 Mg/m³
Spin magnetization   0.00 μB/f.u.



[5]
A relaxed structure of Sn5Te5Br2. Source: Alexandria, functional PBE.

The structure in POSCAR format:
```
Sn5Te5Br2
1.0
6.340 0.000 3.223
3.170 7.855 1.612
-0.390 0.000 8.614
Sn Te Br
5 5 2
Cartesian
2.425 5.724 3.623
0.797 2.131 6.826
5.595 2.131 5.235
2.826 0.000 1.437
3.967 5.724 8.438
2.060 2.845 1.047
5.230 5.010 2.659
0.770 0.000 3.583
2.959 0.000 7.125
4.985 0.000 11.346
2.852 3.928 5.856
6.022 3.928 7.467
```

## Properties
Crystal system   tetragonal
Space-group type   I4mm
Electronic total energy   -42.46 eV per formula unit
ΔE_f (raw)   -0.282 eV per atom
ρ   5.3 Mg/m³
Spin magnetization   0.00 μB/f.u.



[6]
A relaxed structure of Sn3Te2Br. Source: Alexandria, functional PBE.

The structure in POSCAR format:
```
Sn3Te2Br
1.0
-2.270 4.328 0.563
-4.656 -1.936 -3.887
0.304 -3.494 6.591
Sn Te Br
3 2 1
Cartesian
-4.588 0.378 0.093
0.000 0.000 0.000
-2.034 -1.480 3.175
-4.424 -2.493 1.328
-2.198 1.391 1.940
-2.328 -0.968 -1.943
```

## Properties
Crystal system   orthorhombic
Space-group type   Immm
Electronic total energy   -21.41 eV per formula unit
ΔE_f (raw)   -0.241 eV per atom
ρ   5.8 Mg/m³
Spin magnetization   0.00 μB/f.u.



[7]
A relaxed structure of SnTeBr2. Source: Alexandria, functional PBE.

The structure in POSCAR format:
```
SnTeBr2
1.0
0.000 3.859 3.859
3.859 0.000 3.859
3.859 3.859 0.000
Te Sn Br
1 1 2
Cartesian
3.859 3.859 3.859
0.000 0.000 0.000
1.929 1.929 1.929
5.788 5.788 5.788
```

## Properties
Crystal system   cubic
Space-group type   Fm-3m
Electronic total energy   -10.16 eV per formula unit
ΔE_f (raw)   0.083 eV per atom
ρ   5.9 Mg/m³
Spin magnetization   1.23 μB/f.u.



[8]
A relaxed structure of Sn3TeBr. Source: Alexandria, functional PBE.

The structure in POSCAR format:
```
Sn3TeBr
1.0
5.653 0.000 0.000
0.000 5.653 0.000
0.000 0.000 5.653
Te Sn Br
1 3 1
Cartesian
2.826 2.826 2.826
0.000 2.826 0.000
0.000 0.000 2.826
2.826 0.000 0.000
0.000 0.000 0.000
```

## Properties
Crystal system   cubic
Space-group type   Pm-3m
Electronic total energy   -13.95 eV per formula unit
ΔE_f (raw)   0.574 eV per atom
ρ   5.2 Mg/m³
Spin magnetization   0.00 μB/f.u.



> Which formula does entry 2 have?

Sn2Te2Br



> Which value of ρ does entry 1 give?

4.4 Mg/m³



> Which of these has the highest ΔE_f (raw)?

number 8